## LuMgCdPb (PBE)

Data for a relaxed LuMgCdPb crystal.

abc: 5.1980 5.1980 5.1980
angles: 60.00 60.00 60.00
Sites, in units of the cell vectors:
Pb 0.2500 0.2500 0.2500
Mg 0.0000 0.0000 0.0000
Lu 0.5000 0.5000 0.5000
Cd 0.7500 0.7500 0.7500

The total energy comes out at -11.40 eV/cell. The formation energy is -15.88 kJ/mol of atoms. As for the symmetry: F-43m. The crystal system is cubic.